Entry 1:
The following is a GGA-PBE calculation of a geometry-optimized Cd3As4 structure, from Alexandria.

abc: 5.7290 5.7290 5.3704
angles: 90.00 90.00 120.00
Last column: nearest neighbours and their distance in Å.
Element x y z (fractional)
Cd  0.0000  0.5000  0.0000  4 Cd 2.86, 4 As 3.15
Cd  0.5000  0.5000  0.0000  4 Cd 2.86, 4 As 3.15
Cd  0.5000  0.0000  0.0000  4 Cd 2.86, 4 As 3.15
As  0.0000  0.0000  0.2761  1 As 2.41
As  0.0000  0.0000  0.7239  1 As 2.41
As  0.6667  0.3333  0.5000  6 Cd 3.15, 9 As 3.31-3.52
As  0.3333  0.6667  0.5000  6 Cd 3.15, 9 As 3.31-3.52

## Properties
As for the symmetry: P6/mmm. The value obtained for the energy relative to the elements is 428 meV/atom.


Entry 2:
The following is a GGA-PBE calculation of a geometry-optimized MnCr3B structure, from Alexandria.

abc: 4.1452 4.1452 4.1452
angles: 90.00 90.00 90.00
Last column: nearest neighbours and their distance in Å.
Element x y z (fractional)
Cr  0.0000  0.5000  0.0000  2 Mn 2.07
Cr  0.0000  0.0000  0.5000  2 Mn 2.07
Cr  0.5000  0.0000  0.0000  2 Mn 2.07
B  0.5000  0.5000  0.5000  12 Cr 2.93
Mn  0.0000  0.0000  0.0000  6 Cr 2.07

## Properties
As for the symmetry: Pm-3m. The value obtained for the energy relative to the elements is 1750 meV/atom. The value obtained for the energy relative to the lowest polymorph listed for this composition is 1360 meV per atom.


Entry 3:
The following is a GGA-PBE calculation of a geometry-optimized ZrSc2CdAu structure, from Alexandria.

abc: 5.2246 4.9857 5.2246
angles: 90.00 90.00 90.00
Last column: nearest neighbours and their distance in Å.
Element x y z (fractional)
Sc  0.0000  0.0000  0.5000  2 Cd 2.61
Sc  0.5000  0.0000  0.0000  2 Cd 2.61
Au  0.0000  0.5000  0.0000  2 Cd 2.49
Zr  0.5000  0.5000  0.5000  8 Sc 3.61, 4 Au 3.69
Cd  0.0000  0.0000  0.0000  2 Au 2.49, 4 Sc 2.61

## Properties
As for the symmetry: P4/mmm. The value obtained for the energy relative to the elements is 708 meV/atom.


Entry 4:
The following is a GGA-PBE calculation of a geometry-optimized MgZrCd2 structure, from Alexandria.

abc: 7.8036 7.8036 6.3293
angles: 51.94 51.94 90.00
Last column: nearest neighbours and their distance in Å.
Element x y z (fractional)
Mg  0.5000  0.5000  0.0000  4 Cd 2.79, 2 Zr 3.10
Mg  0.2500  0.7500  0.5000  4 Cd 2.79, 2 Zr 3.10
Zr  0.0000  0.0000  0.0000  4 Cd 2.94, 2 Mg 3.10
Zr  0.7500  0.2500  0.5000  4 Cd 2.94, 2 Mg 3.10
Cd  0.6107  0.1250  0.2500  2 Mg 2.79, 2 Zr 2.94, 2 Cd 3.11
Cd  0.1393  0.6250  0.2500  2 Mg 2.79, 2 Zr 2.94, 2 Cd 3.11
Cd  0.3750  0.3893  0.7500  2 Mg 2.79, 2 Zr 2.94, 2 Cd 3.11
Cd  0.8750  0.8607  0.7500  2 Mg 2.79, 2 Zr 2.94, 2 Cd 3.11

## Properties
As for the symmetry: I-42d. The value obtained for the energy relative to the elements is 256 meV/atom.


Entry 5:
The following is a GGA-PBE calculation of a geometry-optimized LiAc2SeO6 structure, from Alexandria.

abc: 5.6360 5.6360 7.9739
angles: 90.00 90.00 90.00
Last column: nearest neighbours and their distance in Å.
Element x y z (fractional)
Li  0.0000  0.7499  0.5000  6 O 2.05
Li  0.5000  0.2501  0.0000  6 O 2.05
Ac  0.5000  0.7500  0.2500  12 O 2.82
Ac  0.0000  0.2500  0.7500  12 O 2.82
Ac  0.5000  0.7500  0.7500  12 O 2.82
Ac  0.0000  0.2500  0.2500  12 O 2.82
Se  0.5000  0.2498  0.5000  6 O 1.94
Se  0.0000  0.7502  0.0000  6 O 1.94
O  0.5000  0.2498  0.2570  1 Se 1.94, 1 Li 2.05
O  0.5000  0.2498  0.7430  1 Se 1.94, 1 Li 2.05
O  0.0000  0.7502  0.2430  1 Se 1.94, 1 Li 2.05
O  0.0000  0.7502  0.7570  1 Se 1.94, 1 Li 2.05
O  0.2571  0.0069  0.5000  1 Se 1.94, 1 Li 2.05
O  0.7429  0.0069  0.5000  1 Se 1.94, 1 Li 2.05
O  0.2569  0.4929  0.5000  1 Se 1.94, 1 Li 2.05
O  0.7431  0.4929  0.5000  1 Se 1.94, 1 Li 2.05
O  0.7569  0.5071  0.0000  1 Se 1.94, 1 Li 2.05
O  0.2431  0.5071  0.0000  1 Se 1.94, 1 Li 2.05
O  0.2429  0.9931  0.0000  1 Se 1.94, 1 Li 2.05
O  0.7571  0.9931  0.0000  1 Se 1.94, 1 Li 2.05

## Properties
As for the symmetry: Fm-3m. For the formation energy from raw total energies, the calculation gives -2.255 eV per atom.


Entry 6:
The following is a GGA-PBE calculation of a geometry-optimized Ag2Bi2Pb structure, from Alexandria.

abc: 4.6230 4.6230 7.4076
angles: 71.82 71.82 90.00
Last column: nearest neighbours and their distance in Å.
Element x y z (fractional)
Pb  0.0000  0.0000  0.0000  8 Ag 3.53
Bi  0.7500  0.2500  0.5000  4 Ag 3.05, 4 Bi 3.27
Bi  0.2500  0.7500  0.5000  4 Ag 3.05, 4 Bi 3.27
Ag  0.3991  0.3991  0.2018  1 Ag 2.68
Ag  0.6009  0.6009  0.7982  1 Ag 2.68

## Properties
As for the symmetry: I4/mmm. The value obtained for the energy relative to the elements is 167 meV/atom. The value obtained for the energy relative to the lowest polymorph listed for this composition is 70 meV per atom.


Entry 7:
The following is a GGA-PBE calculation of a geometry-optimized KCeSn structure, from Alexandria.

abc: 5.2491 5.2491 10.9516
angles: 76.13 76.13 60.00
Last column: nearest neighbours and their distance in Å.
Element x y z (fractional)
Ce  0.2986  0.2986  0.1043  4 Sn 3.22-3.27
Ce  0.7014  0.7014  0.8957  4 Sn 3.22-3.27
K  0.1265  0.1265  0.6206  3 Sn 3.53, 3 K 3.95
K  0.8735  0.8735  0.3794  3 Sn 3.53, 3 K 3.95
Sn  0.4023  0.4023  0.7932  4 Ce 3.22-3.27, 3 K 3.53
Sn  0.5977  0.5977  0.2068  4 Ce 3.22-3.27, 3 K 3.53

## Properties
As for the symmetry: R-3m. The value obtained for the energy relative to the elements is -91 meV/atom.


Entry 8:
The following is a GGA-PBE calculation of a geometry-optimized TaSnBi2 structure, from Alexandria.

abc: 6.7014 6.7014 8.4049
angles: 66.51 66.51 90.00
Last column: nearest neighbours and their distance in Å.
Element x y z (fractional)
Bi  0.6666  0.1250  0.2500  2 Ta 2.79, 2 Sn 3.10
Bi  0.0834  0.6250  0.2500  2 Ta 2.79, 2 Sn 3.10
Bi  0.3750  0.3334  0.7500  2 Ta 2.79, 2 Sn 3.10
Bi  0.8750  0.9166  0.7500  2 Ta 2.79, 2 Sn 3.10
Sn  0.5000  0.5000  0.0000  4 Bi 3.10
Sn  0.2500  0.7500  0.5000  4 Bi 3.10
Ta  0.0000  0.0000  0.0000  4 Bi 2.79
Ta  0.7500  0.2500  0.5000  4 Bi 2.79

## Properties
As for the symmetry: I-42d. The value obtained for the energy relative to the elements is 797 meV/atom.


Entry 9:
The following is a GGA-PBE calculation of a geometry-optimized Zn3Rh2Au structure, from Alexandria.

abc: 4.3358 4.3358 10.6398
angles: 90.00 90.00 120.00
Last column: nearest neighbours and their distance in Å.
Element x y z (fractional)
Zn  0.3333  0.6667  0.4170  4 Rh 2.63-2.65, 4 Au 2.66-2.68
Zn  0.6667  0.3333  0.0758  7 Rh 2.62-2.70, 1 Au 2.72
Zn  0.0000  0.0000  0.7583  5 Rh 2.57-2.75, 3 Au 2.68
Zn  0.0000  0.0000  0.2417  5 Rh 2.57-2.75, 3 Au 2.68
Zn  0.3333  0.6667  0.9242  7 Rh 2.62-2.70, 1 Au 2.72
Zn  0.6667  0.3333  0.5830  4 Rh 2.63-2.65, 4 Au 2.66-2.68
Rh  0.0000  0.0000  0.5000  8 Zn 2.65-2.75
Rh  0.3333  0.6667  0.1702  8 Zn 2.62-2.70
Rh  0.6667  0.3333  0.8298  8 Zn 2.62-2.70
Rh  0.0000  0.0000  0.0000  8 Zn 2.57-2.63
Au  0.3333  0.6667  0.6686  8 Zn 2.66-2.72
Au  0.6667  0.3333  0.3314  8 Zn 2.66-2.72

## Properties
As for the symmetry: P-3m1. The value obtained for the energy relative to the elements is -360 meV/atom. The value obtained for the energy relative to the lowest polymorph listed for this composition is 5 meV per atom.


Entry 10:
The following is a GGA-PBE calculation of a geometry-optimized NaZrPRu2 structure, from Alexandria.

abc: 4.3918 4.6737 4.3918
angles: 90.00 90.00 90.00
Last column: nearest neighbours and their distance in Å.
Element x y z (fractional)
Ru  0.0000  0.0000  0.5000  2 P 2.20
Ru  0.5000  0.0000  0.0000  2 P 2.20
Na  0.0000  0.5000  0.0000  2 P 2.34
Zr  0.5000  0.5000  0.5000  4 Na 3.11, 8 Ru 3.21
P  0.0000  0.0000  0.0000  4 Ru 2.20, 2 Na 2.34

## Properties
As for the symmetry: P4/mmm. The value obtained for the energy relative to the elements is 221 meV/atom.


Entry 11:
The following is a GGA-PBE calculation of a geometry-optimized ZrTeIr3 structure, from Alexandria.

abc: 4.8115 4.8115 4.8115
angles: 90.00 90.00 90.00
Last column: nearest neighbours and their distance in Å.
Element x y z (fractional)
Ir  0.0000  0.5000  0.0000  2 Te 2.41
Ir  0.0000  0.0000  0.5000  2 Te 2.41
Ir  0.5000  0.0000  0.0000  2 Te 2.41
Te  0.0000  0.0000  0.0000  6 Ir 2.41
Zr  0.5000  0.5000  0.5000  12 Ir 3.40

## Properties
As for the symmetry: Pm-3m. For the formation energy from raw total energies, the calculation gives 1.166 eV per atom. The value obtained for the energy relative to the lowest polymorph listed for this composition is 0 meV per atom.


Entry 12:
The following is a GGA-PBE calculation of a geometry-optimized Fe2TePd9 structure, from Alexandria.

abc: 3.9562 3.9562 11.9008
angles: 90.00 90.00 90.00
Last column: nearest neighbours and their distance in Å.
Element x y z (fractional)
Fe  0.0000  0.0000  0.3400  12 Pd 2.74-2.80
Fe  0.0000  0.0000  0.6600  12 Pd 2.74-2.80
Te  0.0000  0.0000  0.0000  12 Pd 2.80-2.92
Pd  0.5000  0.5000  0.0000  4 Te 2.80, 8 Pd 2.92
Pd  0.5000  0.5000  0.3398  8 Pd 2.74-2.75, 4 Fe 2.80
Pd  0.5000  0.5000  0.6602  8 Pd 2.74-2.75, 4 Fe 2.80
Pd  0.5000  0.0000  0.1807  8 Pd 2.74-2.92, 2 Fe 2.74, 2 Te 2.92
Pd  0.5000  0.0000  0.5000  4 Fe 2.75, 8 Pd 2.75-2.80
Pd  0.5000  0.0000  0.8193  8 Pd 2.74-2.92, 2 Fe 2.74, 2 Te 2.92
Pd  0.0000  0.5000  0.1807  8 Pd 2.74-2.92, 2 Fe 2.74, 2 Te 2.92
Pd  0.0000  0.5000  0.5000  4 Fe 2.75, 8 Pd 2.75-2.80
Pd  0.0000  0.5000  0.8193  8 Pd 2.74-2.92, 2 Fe 2.74, 2 Te 2.92

## Properties
As for the symmetry: P4/mmm. For the formation energy from raw total energies, the calculation gives -0.124 eV per atom.


Entry 13:
The following is a GGA-PBE calculation of a geometry-optimized HfCu2C structure, from Alexandria.

abc: 4.0998 4.0998 7.3108
angles: 73.72 73.72 90.00
Last column: nearest neighbours and their distance in Å.
Element x y z (fractional)
C  0.5000  0.5000  0.0000  4 Cu 2.00
C  0.2500  0.7500  0.5000  4 Cu 2.00
Hf  0.0000  0.0000  0.0000  4 Cu 2.58
Hf  0.7500  0.2500  0.5000  4 Cu 2.58
Cu  0.4665  0.1250  0.2500  2 C 2.00, 2 Cu 2.18
Cu  0.2835  0.6250  0.2500  2 C 2.00, 2 Cu 2.18
Cu  0.3750  0.5335  0.7500  2 C 2.00, 2 Cu 2.18
Cu  0.8750  0.7165  0.7500  2 C 2.00, 2 Cu 2.18

## Properties
As for the symmetry: I-42d. The value obtained for the energy relative to the elements is 710 meV/atom.


Entry 14:
The following is a GGA-PBE calculation of a geometry-optimized Pm3Er2Hg3 structure, from Alexandria.

abc: 3.7518 5.4291 11.6444
angles: 103.48 99.27 90.00
Last column: nearest neighbours and their distance in Å.
Element x y z (fractional)
Pm  0.6228  0.6228  0.2456  6 Hg 3.30-3.32, 2 Er 3.67
Pm  0.3772  0.3772  0.7544  6 Hg 3.30-3.32, 2 Er 3.67
Pm  0.5000  0.0000  0.0000  8 Hg 3.30-3.33
Er  0.7336  0.2336  0.4672  2 Hg 3.10, 4 Er 3.38
Er  0.2664  0.7664  0.5328  2 Hg 3.10, 4 Er 3.38
Hg  0.1232  0.1232  0.2463  2 Er 3.10, 6 Pm 3.30-3.33
Hg  0.0000  0.5000  0.0000  8 Pm 3.30-3.32
Hg  0.8768  0.8768  0.7537  2 Er 3.10, 6 Pm 3.30-3.33

## Properties
As for the symmetry: Immm. The value obtained for the energy relative to the elements is -355 meV/atom.


Entry 15:
The following is a GGA-PBE calculation of a geometry-optimized La3NdDyTm structure, from Alexandria.

abc: 5.2139 8.1395 10.9341
angles: 115.85 90.00 90.00
Last column: nearest neighbours and their distance in Å.
Element x y z (fractional)
La  0.7500  0.8720  0.0433  3 Tm 3.62-3.66, 1 Dy 3.62, 3 Nd 3.68-3.69, 5 La 3.69-3.72
La  0.2500  0.1280  0.9567  3 Tm 3.62-3.66, 1 Dy 3.62, 3 Nd 3.68-3.69, 5 La 3.69-3.72
La  0.2500  0.6297  0.4584  3 Dy 3.62-3.63, 1 Tm 3.63, 3 Nd 3.68-3.72, 5 La 3.69-3.71
La  0.7500  0.3703  0.5416  3 Dy 3.62-3.63, 1 Tm 3.63, 3 Nd 3.68-3.72, 5 La 3.69-3.71
La  0.7500  0.3803  0.2064  3 Tm 3.60-3.63, 1 Dy 3.63, 6 La 3.69-3.72, 2 Nd 3.72
La  0.2500  0.6197  0.7936  3 Tm 3.60-3.63, 1 Dy 3.63, 6 La 3.69-3.72, 2 Nd 3.72
Nd  0.2500  0.1216  0.2923  3 Dy 3.62-3.64, 1 Tm 3.62, 8 La 3.68-3.72
Nd  0.7500  0.8784  0.7077  3 Dy 3.62-3.64, 1 Tm 3.62, 8 La 3.68-3.72
Dy  0.2500  0.1241  0.6240  3 Nd 3.62-3.64, 5 La 3.62-3.63, 2 Dy 3.67, 2 Tm 3.68
Dy  0.7500  0.8759  0.3760  3 Nd 3.62-3.64, 5 La 3.62-3.63, 2 Dy 3.67, 2 Tm 3.68
Tm  0.2500  0.6274  0.1256  7 La 3.60-3.66, 1 Nd 3.62, 2 Dy 3.68, 2 Tm 3.70
Tm  0.7500  0.3726  0.8744  7 La 3.60-3.66, 1 Nd 3.62, 2 Dy 3.68, 2 Tm 3.70

## Properties
As for the symmetry: P2_1/m. The value obtained for the energy relative to the elements is 32 meV/atom.


Entry 16:
The following is a GGA-PBE calculation of a geometry-optimized Cs2NiH4 structure, from Alexandria.

abc: 6.1142 6.1141 6.1144
angles: 61.56 87.28 118.44
Last column: nearest neighbours and their distance in Å.
Element x y z (fractional)
Cs  0.7500  0.5000  0.7500  8 H 3.13
Cs  0.2500  0.5000  0.2500  8 H 3.13
Ni  0.0000  0.0000  0.0000  4 H 1.54
H  0.8259  0.0000  0.8259  1 Ni 1.54
H  0.1741  0.0000  0.1741  1 Ni 1.54
H  0.1741  0.3482  0.8259  1 Ni 1.54
H  0.8259  0.6518  0.1741  1 Ni 1.54

## Properties
As for the symmetry: I4/mmm. The value obtained for the energy relative to the lowest polymorph listed for this composition is 0 meV per atom.